Density functional theory data (GGA-PBE) for a relaxed KTePbI crystal.

Cell lengths 4.6424, 4.6424, 9.1976 Å; angles 104.57, 104.57, 60.03 degrees
With the nearest neighbours (Å) after each atom.
Fractional coordinates of all 4 atoms:
K 0.0000 0.0000 0.0000  3 I 3.47, 3 Te 3.61
Te 0.5754 0.5754 0.7256  3 Pb 3.16
Pb 0.1791 0.1791 0.5363  3 Te 3.16
I 0.4167 0.4167 0.2505  3 K 3.47, 3 Pb 3.67-3.68

E_form (uncorrected), kJ/mol of atoms: -81
DFT total energy, eV/atom: -3.21
Calculated volume, Å³/atom: 41.08
Density of states at the Fermi level, states/eV/cell: 0.00